<w>
SrHfZn | GGA-PBE | optimized geometry

Cell lengths 3.5625, 3.5625, 12.4929 Å; angles 90.00, 90.00, 90.00 degrees
Closest atoms and distances in Å follow each position.
Space group P4/nmm (No. 129, origin choice 2)
Inequivalent atoms, fractional coordinates:
Sr: 0.2500 0.2500 0.1402 [2 per cell]  4 Zn 3.36, 4 Sr 3.56, 1 Hf 3.58
Hf: 0.2500 0.2500 0.4269 [2 per cell]  5 Zn 2.86-3.18, 4 Hf 3.11
Zn: 0.2500 0.2500 0.6814 [2 per cell]  5 Hf 2.86-3.18

***

<x>
SrHfZn | GGA-PBE | optimized geometry

Cell lengths 3.4861, 3.4861, 12.8279 Å; angles 90.00, 90.00, 90.00 degrees
Closest atoms and distances in Å follow each position.
Space group I4mm (No. 107)
Inequivalent atoms, fractional coordinates:
Sr: 0.0000 0.0000 0.0000 [2 per cell]  4 Zn 3.39, 4 Sr 3.49, 5 Hf 3.62-3.73
Hf: 0.0000 0.0000 0.7177 [2 per cell]  4 Zn 2.79
Zn: 0.0000 0.0000 0.3189 [2 per cell]  4 Hf 2.79

***

Least stable structure: <x>

***

<w>
TbHf2 | GGA-PBE | optimized geometry

Cell lengths 3.1866, 3.1866, 14.8614 Å; angles 90.00, 90.00, 90.00 degrees
Closest atoms and distances in Å follow each position.
Space group I4/mmm (No. 139)
Inequivalent atoms, fractional coordinates:
Tb: 0.0000 0.0000 0.0000 [2 per cell]  4 Tb 3.19, 8 Hf 3.50
Hf: 0.0000 0.0000 0.3198 [4 per cell]  8 Hf 3.06-3.19

***

<x>
TbHf2 | GGA-PBE | optimized geometry

Cell lengths 8.5704, 8.5704, 8.5704 Å; angles 90.00, 90.00, 90.00 degrees
Closest atoms and distances in Å follow each position.
Space group Fd-3m (No. 227, origin choice 2)
Inequivalent atoms, fractional coordinates:
Tb: 0.1250 0.1250 0.1250 [8 per cell]  12 Hf 3.55, 4 Tb 3.71
Hf: 0.0000 0.0000 0.5000 [16 per cell]  6 Hf 3.03

***

Least stable structure: <x>

***

<w>
HfTcTe | GGA-PBE | optimized geometry

Cell lengths 6.3345, 6.3345, 6.3345 Å; angles 90.00, 90.00, 90.00 degrees
Closest atoms and distances in Å follow each position.
Space group F-43m (No. 216)
Inequivalent atoms, fractional coordinates:
Hf: 0.0000 0.0000 0.0000 [4 per cell]  4 Tc 2.74
Tc: 0.2500 0.2500 0.7500 [4 per cell]  4 Hf 2.74, 4 Te 2.74
Te: 0.0000 0.0000 0.5000 [4 per cell]  4 Tc 2.74

***

<x>
HfTcTe | GGA-PBE | optimized geometry

Cell lengths 6.4684, 6.4684, 6.4684 Å; angles 90.00, 90.00, 90.00 degrees
Closest atoms and distances in Å follow each position.
Space group F-43m (No. 216)
Inequivalent atoms, fractional coordinates:
Hf: 0.0000 0.0000 0.0000 [4 per cell]  4 Tc 2.80, 4 Te 2.80
Tc: 0.2500 0.2500 0.7500 [4 per cell]  4 Hf 2.80
Te: 0.2500 0.2500 0.2500 [4 per cell]  4 Hf 2.80

***

Least stable structure: <x>